DFT (PBE-GGA) results for a geometry-optimized CdGaBi2 structure.

Its volume is 443.7 Å³/cell. Its energy is -2.887 eV per atom.

The space group is F-43m (No. 216) and the conventional cell measures 7.627, 7.627 and 7.627 Å, with angles of 90.00, 90.00 and 90.00 degrees. The asymmetric unit holds Cd at (0.000, 0.000, 0.000), Ga at (0.250, 0.250, 0.750), Bi at (0.000, 0.000, 0.500) and Bi at (0.250, 0.250, 0.250).